Here is TaZnCl3 after structural relaxation from Alexandria via LeMat-Bulk. Energies are from PBE.

Geometry as POSCAR:
```
TaZnCl3
1.0
4.898 0.000 0.000
0.000 4.898 0.000
0.000 0.000 4.898
Ta Zn Cl
1 1 3
Direct
0.000 0.000 0.000
0.500 0.500 0.500
0.000 0.000 0.500
0.000 0.500 0.000
0.500 0.000 0.000
```

Computed properties:
E_tot	-4.13	eV per atom
symmetry	Pm-3m (221)
magnetization	0.0	μB/f.u.
formation energy (no corrections)	-401	meV per atom
offset from the most stable computed form	0.0	meV per atom

***

Here is BeCuN3 after structural relaxation from Alexandria via LeMat-Bulk. Energies are from PBE.

Geometry as POSCAR:
```
BeCuN3
1.0
3.447 0.000 0.000
0.000 3.447 0.000
0.000 0.000 3.447
Be Cu N
1 1 3
Direct
0.000 0.000 0.000
0.500 0.500 0.500
0.000 0.000 0.500
0.000 0.500 0.000
0.500 0.000 0.000
```

Computed properties:
E_tot	-4.92	eV per atom
symmetry	Pm-3m (221)
magnetization	0.0	μB/f.u.
formation energy (no corrections)	1640	meV per atom

***

Here is NaCaI2N after structural relaxation from Alexandria via LeMat-Bulk. Energies are from PBE.

Geometry as POSCAR:
```
NaCaI2N
1.0
5.908 0.000 0.000
0.000 5.908 0.000
0.000 0.000 4.504
Na Ca I N
1 1 2 1
Direct
0.000 0.000 0.000
0.500 0.500 0.500
0.000 0.500 0.000
0.500 0.000 0.000
0.000 0.000 0.500
```

Computed properties:
E_tot	-2.91	eV per atom
symmetry	P4/mmm (123)
magnetization	2.2	μB/f.u.
formation energy (no corrections)	35	meV per atom
offset from the most stable computed form	427.4	meV per atom

***

Here is DyY6Er2Th after structural relaxation from Alexandria via LeMat-Bulk. Energies are from PBE.

Geometry as POSCAR:
```
DyY6Er2Th
1.0
4.658 -7.525 0.000
4.658 7.525 0.000
-0.752 0.000 9.249
Dy Y Er Th
2 12 4 2
Direct
0.085 0.915 0.750
0.915 0.085 0.250
0.020 0.787 0.393
0.066 0.506 0.187
0.213 0.980 0.107
0.270 0.619 0.559
0.381 0.730 0.941
0.494 0.934 0.313
0.506 0.066 0.687
0.619 0.270 0.059
0.730 0.381 0.441
0.787 0.020 0.893
0.934 0.494 0.813
0.980 0.213 0.607
0.195 0.299 0.943
0.299 0.195 0.443
0.701 0.805 0.557
0.805 0.701 0.057
0.466 0.534 0.250
0.534 0.466 0.750
```

Computed properties:
E_tot	-5.84	eV per atom
symmetry	C2/c (15)
calculated formation energy	0.149	eV/atom
magnetization	0.0	μB/f.u.

***

E_tot of number 3 (NaCaI2N)? -2.91 eV per atom

***

magnetization of number 1 (TaZnCl3)? 0.0 μB/f.u.

***

What is the E_tot in the first record? -4.13 eV per atom

***

The highest magnetization belongs to which entry? NaCaI2N